Record 1
YReMo PBE-GGA optimized geometry; energy above the most stable polymorph in this dataset = 0 meV per atom; E_form = -0.08 eV per atom; magnetization = 0.00 μB per atom; calculated density = 10.63 g cm⁻³
1.0
5.4476 0.0000 0.0000
0.0000 5.5053 0.0000
0.0000 0.0000 7.7333
Y Re Mo
4 4 4
direct
0.0000 0.2500 0.1232 Y
0.0000 0.7500 0.8768 Y
0.5000 0.2500 0.3768 Y
0.5000 0.7500 0.6232 Y
0.2500 0.2500 0.7500 Re
0.2500 0.7500 0.2500 Re
0.7500 0.2500 0.7500 Re
0.7500 0.7500 0.2500 Re
0.0000 0.0000 0.5000 Mo
0.0000 0.5000 0.5000 Mo
0.5000 0.0000 0.0000 Mo
0.5000 0.5000 0.0000 Mo

---

Record 2
YReMo2 PBE-GGA optimized geometry; energy above the most stable polymorph in this dataset = 286 meV per atom; E_form = 0.51 eV per atom; magnetization = 0.00 μB per atom; calculated density = 10.58 g cm⁻³
1.0
3.0756 0.0000 0.0000
-1.5378 2.6635 0.0000
0.0000 0.0000 26.8393
Y Re Mo
3 3 6
direct
0.0000 0.0000 0.0000 Y
0.3333 0.6667 0.6667 Y
0.6667 0.3333 0.3333 Y
0.0000 0.0000 0.7589 Re
0.3333 0.6667 0.4255 Re
0.6667 0.3333 0.0922 Re
0.0000 0.0000 0.2391 Mo
0.0000 0.0000 0.4999 Mo
0.3333 0.6667 0.1666 Mo
0.3333 0.6667 0.9058 Mo
0.6667 0.3333 0.5724 Mo
0.6667 0.3333 0.8332 Mo

---

Record 3
YRe3Mo PBE-GGA optimized geometry; energy above the most stable polymorph in this dataset = 0 meV per atom; E_form = 1.41 eV per atom; magnetization = 0.00 μB per atom; calculated density = 11.55 g cm⁻³
1.0
4.7463 0.0000 0.0000
0.0000 4.7463 0.0000
0.0000 0.0000 4.7463
Y Re Mo
1 3 1
direct
0.0000 0.0000 0.0000 Y
0.0000 0.5000 0.5000 Re
0.5000 0.0000 0.5000 Re
0.5000 0.5000 0.0000 Re
0.5000 0.5000 0.5000 Mo

---

Record 4
Y2ReMo PBE-GGA optimized geometry; energy above the most stable polymorph in this dataset = 556 meV per atom; E_form = 0.64 eV per atom; magnetization = 0.00 μB per atom; calculated density = 9.25 g cm⁻³
1.0
2.9325 0.0000 0.0000
0.0000 4.8443 0.0000
0.0000 0.0000 5.8134
Y Re Mo
2 1 1
direct
0.0000 0.0000 0.2448 Y
0.0000 0.0000 0.7552 Y
0.5000 0.5000 0.0000 Re
0.5000 0.5000 0.5000 Mo

---

Record 5
YReMo2 PBE-GGA optimized geometry; energy above the most stable polymorph in this dataset = 71 meV per atom; E_form = 0.30 eV per atom; magnetization = 0.00 μB per atom; calculated density = 10.88 g cm⁻³
1.0
3.2350 0.0000 0.0000
0.0000 4.7667 0.0000
0.0000 0.0000 9.2419
Y Re Mo
2 2 4
direct
0.0000 0.0000 0.0000 Y
0.5000 0.5000 0.5000 Y
0.0000 0.5000 0.2332 Re
0.5000 0.0000 0.7332 Re
0.0000 0.0000 0.5019 Mo
0.0000 0.5000 0.7670 Mo
0.5000 0.0000 0.2670 Mo
0.5000 0.5000 0.0019 Mo

---

Record 6
Y2ReMo PBE-GGA optimized geometry; energy above the most stable polymorph in this dataset = 471 meV per atom; E_form = 0.55 eV per atom; magnetization = 0.00 μB per atom; calculated density = 9.38 g cm⁻³
1.0
3.0047 0.0000 0.0000
0.0000 4.7645 0.0000
-1.1174 0.0000 5.6909
Y Re Mo
2 1 1
direct
0.2368 0.0000 0.2538 Y
0.7632 0.0000 0.7462 Y
0.0000 0.5000 0.5000 Re
0.5000 0.5000 0.0000 Mo